# 1
The following is a DFT calculation (PBE-GGA) of a geometry-optimized TmAuSO structure.

```
TmAuSO
1.0
-1.079 -1.431 5.143
0.386 -5.254 -1.381
8.898 0.152 1.909
O Au Tm S
4 4 4 4
Cartesian
-0.517 -5.015 2.822 O
0.023 -4.299 0.250 O
-0.710 -2.386 3.513 O
-0.170 -1.670 0.941 O
3.924 -4.938 3.775 Au
4.463 -4.223 1.204 Au
4.270 -1.596 1.894 Au
3.731 -2.311 4.465 Au
0.723 -3.324 2.111 Tm
8.026 -2.494 0.990 Tm
1.074 0.018 0.230 Tm
7.292 -0.582 4.252 Tm
1.959 -0.673 3.108 S
6.399 0.109 1.373 S
6.052 -3.234 3.254 S
2.692 -2.585 -0.154 S
```

Values from the calculation:
For the calculated total energy, the calculation gives -0.221 Ha/atom. Its space group is P4mm (99).

***

# 2
The following is a DFT calculation (PBE-GGA) of a geometry-optimized K2AgHgF6 structure.

```
K2AgHgF6
1.0
-3.311 1.212 4.928
-0.983 -4.260 4.195
5.684 2.511 -0.695
Hg F K Ag
1 6 2 1
Cartesian
2.842 1.255 -0.348 Hg
-1.229 -1.403 6.571 F
2.619 0.865 1.856 F
-1.401 0.489 4.092 F
1.633 1.698 4.700 F
-0.242 -2.235 3.727 F
2.791 -1.026 4.335 F
0.286 -0.159 2.095 K
1.104 -0.379 6.332 K
-2.147 -1.524 4.561 Ag
```

Values from the calculation:
For the calculated total energy, the calculation gives -0.130 Ha/atom. Its space group is C2/m (12).

***

# 3
The following is a DFT calculation (PBE-GGA) of a geometry-optimized Pm4IrPt structure.

```
Pm4IrPt
1.0
4.950 0.000 0.000
0.000 4.950 0.000
0.000 0.000 6.999
Ir Pt Pm
1 1 4
Cartesian
0.000 0.000 0.000 Ir
2.475 2.475 3.499 Pt
0.000 2.475 1.722 Pm
2.475 0.000 1.722 Pm
0.000 2.475 5.277 Pm
2.475 0.000 5.277 Pm
```

Values from the calculation:
Its calculated formation energy is -651 meV/atom. Its space group is P4/mmm (123).